# 1
GGA-PBE CeZrZnTc, relaxed; symmetry = F-43m (216); final energy = -26.6 eV/cell; DOS(E_F) = 1.279 states/eV per atom
1.0
4.844 0.000 0.000
2.422 4.195 0.000
2.422 1.398 3.955
Zr Tc Ce Zn
1 1 1 1
Direct
0.250 0.250 0.250
0.500 0.500 0.500
0.750 0.750 0.750
0.000 0.000 0.000

***

# 2
GGA-PBE Dy5Tm12Th2, relaxed; symmetry = P-1 (2); offset from the most stable computed form = 0.000 eV/atom; DOS(E_F) = 1.423 states/eV per atom
1.0
-0.054 -6.076 -0.327
8.212 -0.750 -6.549
-1.146 0.369 12.614
Tm Dy Th
12 5 2
Direct
0.368 0.260 0.974
0.948 0.105 0.289
0.107 0.792 0.922
0.526 0.947 0.606
0.315 0.367 0.764
0.052 0.895 0.711
0.474 0.053 0.394
0.893 0.208 0.078
0.211 0.578 0.340
0.632 0.740 0.026
0.685 0.633 0.236
0.789 0.422 0.660
0.267 0.473 0.552
0.000 0.000 0.500
0.841 0.317 0.868
0.733 0.527 0.448
0.159 0.683 0.132
0.578 0.844 0.817
0.422 0.156 0.183

***

# 3
GGA-PBE YZr3, relaxed; symmetry = Pmm2 (25); offset from the most stable computed form = 0.006 eV/atom; DOS(E_F) = 0.966 states/eV per atom
1.0
-0.260 3.297 -0.041
-5.193 -0.402 0.614
0.671 0.125 5.757
Zr Y
3 1
Direct
0.500 0.500 0.816
0.500 0.000 0.503
0.000 0.500 0.342
0.000 0.000 0.005

***

# 4
GGA-PBE Ba2AuCl, relaxed; symmetry = Amm2 (38); energy relative to the elements, uncorrected = -1.180 eV per atom; offset from the most stable computed form = 0.109 eV/atom; DOS(E_F) = 1.012 states/eV per atom
1.0
7.017 0.030 0.000
5.729 4.051 0.000
0.000 0.000 5.043
Ba Cl Au
2 1 1
Direct
0.741 0.741 0.625
0.992 0.992 0.125
0.502 0.502 0.625
0.265 0.265 0.125

***

# 5
GGA-PBE La6MgCd2, relaxed; symmetry = C2/m (12); offset from the most stable computed form = 0.000 eV/atom; DOS(E_F) = 1.353 states/eV per atom
1.0
3.772 0.000 0.599
1.644 6.372 1.825
0.016 0.061 12.076
Mg La Cd
1 6 2
Direct
0.000 0.000 0.000
0.305 0.791 0.598
0.024 0.289 0.663
0.695 0.209 0.402
0.976 0.711 0.337
0.679 0.524 0.118
0.321 0.476 0.882
0.632 0.910 0.826
0.368 0.090 0.174

***

# 6
GGA-PBE Pa2Rh2Au, relaxed; symmetry = P4/mbm (127); final energy = -81.2 eV/cell; DOS(E_F) = 1.091 states/eV per atom
1.0
-1.597 0.364 3.198
-5.137 -5.204 -1.973
4.431 -5.448 2.834
Rh Pa Au
4 4 2
Direct
0.500 0.866 0.134
0.500 0.366 0.366
0.500 0.634 0.634
0.500 0.134 0.866
0.000 0.827 0.827
0.000 0.673 0.327
0.000 0.173 0.173
0.000 0.327 0.673
0.500 0.500 0.000
0.500 0.000 0.500

***

# 7
GGA-PBE GdTmCdBi, relaxed; symmetry = F-43m (216); final energy = -25.0 eV/cell; DOS(E_F) = 0.868 states/eV per atom
1.0
5.395 0.000 0.000
2.698 4.672 0.000
2.698 1.557 4.405
Gd Bi Cd Tm
1 1 1 1
Direct
0.250 0.250 0.250
0.500 0.500 0.500
0.000 0.000 0.000
0.750 0.750 0.750

***

# 8
GGA-PBE Pr5TcBr5, relaxed; symmetry = C2/m (12); energy relative to the elements, uncorrected = -1.096 eV per atom; DOS(E_F) = 0.953 states/eV per atom
1.0
-4.299 -0.240 4.241
-2.437 1.274 -6.705
1.280 -8.890 0.795
Br Pr Tc
5 5 1
Direct
0.669 0.338 0.357
0.331 0.662 0.643
0.356 0.713 0.217
0.000 0.000 0.500
0.644 0.287 0.783
0.831 0.661 0.132
0.855 0.709 0.711
0.500 0.000 0.000
0.169 0.339 0.868
0.145 0.291 0.289
0.000 0.000 0.000

***

# 9
GGA-PBE K2CdPbI6, relaxed; symmetry = R3 (146); energy relative to the elements, uncorrected = -0.924 eV per atom; DOS(E_F) = 0.000 states/eV per atom
1.0
-7.931 -1.276 2.752
-3.983 -7.290 -1.759
-1.423 -5.702 6.357
I K Pb Cd
6 2 1 1
Direct
0.982 0.574 0.263
0.095 0.464 0.778
0.574 0.181 0.263
0.464 0.663 0.778
0.663 0.095 0.778
0.181 0.982 0.263
0.534 0.534 0.399
0.032 0.032 0.905
0.818 0.818 0.545
0.318 0.318 0.045

***

# 10
GGA-PBE CeCoSi2Tc2, relaxed; symmetry = P4/mmm (123); energy relative to the elements, uncorrected = -0.109 eV per atom; DOS(E_F) = 1.159 states/eV per atom
1.0
-2.320 2.776 2.578
1.084 -2.411 3.571
4.166 2.863 0.667
Tc Si Co Ce
2 2 1 1
Direct
0.500 0.500 0.267
0.500 0.500 0.733
0.000 0.500 0.000
0.500 0.000 0.000
0.000 0.000 0.000
0.000 0.000 0.500

***

# 11
GGA-PBE BeAu3, relaxed; symmetry = C2/m (12); final energy = -13.7 eV/cell; DOS(E_F) = 0.143 states/eV per atom
1.0
-2.987 -2.547 -1.021
-0.635 -3.592 1.773
-3.106 2.117 3.408
Au Be
3 1
Direct
0.170 0.170 0.173
0.500 0.500 0.500
0.830 0.830 0.827
0.500 0.500 0.000

***

# 12
GGA-PBE Pm2YSe4, relaxed; symmetry = Imma (74); energy relative to the elements, uncorrected = -1.877 eV per atom; offset from the most stable computed form = 0.000 eV/atom; DOS(E_F) = 0.296 states/eV per atom
1.0
2.602 -5.255 5.875
6.505 -4.882 -1.384
7.049 1.447 4.036
Se Pm Y
8 4 2
Direct
0.247 0.253 0.753
0.743 0.751 0.762
0.257 0.738 0.749
0.753 0.747 0.247
0.257 0.249 0.238
0.748 0.253 0.753
0.252 0.747 0.247
0.743 0.262 0.251
0.000 0.000 0.500
0.000 0.500 0.500
0.000 0.000 0.000
0.500 0.000 0.500
0.500 0.500 0.000
0.000 0.500 0.000

***

# 13
GGA-PBE AcLaCdBi, relaxed; symmetry = F-43m (216); final energy = -15.9 eV/cell; DOS(E_F) = 1.097 states/eV per atom
1.0
-5.506 -0.813 -1.390
-1.970 -5.307 -0.931
-3.579 -2.433 3.765
Ac La Bi Cd
1 1 1 1
Direct
0.500 0.500 0.500
0.000 0.000 0.000
0.250 0.250 0.250
0.750 0.750 0.750

***

# 14
GGA-PBE KSbSe4, relaxed; symmetry = P-1 (2); energy relative to the elements, uncorrected = -0.362 eV per atom; offset from the most stable computed form = 0.000 eV/atom; DOS(E_F) = 0.134 states/eV per atom
1.0
6.895 0.002 0.005
0.003 7.311 -0.667
-3.444 -3.816 7.717
Se K Sb
8 2 2
Direct
0.378 0.924 0.136
0.242 0.576 0.864
0.638 0.424 0.565
0.927 0.925 0.565
0.362 0.576 0.435
0.758 0.424 0.136
0.073 0.075 0.435
0.622 0.076 0.864
0.789 0.750 0.000
0.211 0.250 0.000
0.500 0.000 0.500
0.000 0.500 0.500

***

# 15
GGA-PBE K2PaAl2O6, relaxed; symmetry = C2/m (12); energy relative to the elements, uncorrected = -2.656 eV per atom
1.0
5.996 0.000 0.000
-2.998 5.118 -0.292
0.000 -3.261 6.226
O K Pa Al
6 2 1 2
Direct
0.779 0.050 0.742
0.255 0.510 0.357
0.745 0.490 0.643
0.730 0.950 0.258
0.221 0.950 0.258
0.270 0.050 0.742
0.704 0.409 0.157
0.296 0.591 0.843
0.500 0.000 0.500
0.057 0.114 0.231
0.943 0.886 0.769

***

# 16
GGA-PBE Pm2ErIn2, relaxed; symmetry = P2_1/m (11); offset from the most stable computed form = 0.000 eV/atom; DOS(E_F) = 0.974 states/eV per atom
1.0
-3.910 1.922 -1.165
-0.604 -3.372 -3.534
-4.239 -8.541 8.874
Pm In Er
4 4 2
Direct
0.049 0.750 0.098
0.951 0.250 0.902
0.761 0.250 0.521
0.239 0.750 0.479
0.351 0.250 0.702
0.649 0.750 0.298
0.452 0.750 0.903
0.548 0.250 0.097
0.857 0.750 0.713
0.143 0.250 0.287

***

# 17
GGA-PBE Ti3Tc5H12, relaxed; symmetry = Ia-3d (230); final energy = -472.9 eV/cell; DOS(E_F) = 0.450 states/eV per atom
1.0
9.306 0.000 0.000
-3.102 8.773 0.000
-3.102 -4.387 7.598
H Tc Ti
48 20 12
Direct
0.863 0.277 0.443
0.414 0.277 0.335
0.586 0.723 0.665
0.723 0.586 0.165
0.914 0.835 0.777
0.137 0.723 0.557
0.921 0.835 0.557
0.557 0.335 0.921
0.443 0.665 0.079
0.586 0.863 0.421
0.777 0.335 0.914
0.777 0.443 0.363
0.137 0.414 0.079
0.557 0.223 0.137
0.421 0.363 0.586
0.223 0.557 0.637
0.443 0.777 0.863
0.079 0.165 0.443
0.335 0.557 0.421
0.277 0.863 0.943
0.165 0.086 0.723
0.665 0.223 0.586
0.835 0.914 0.277
0.363 0.943 0.777
0.057 0.637 0.723
0.579 0.943 0.665
0.637 0.057 0.223
0.223 0.665 0.086
0.835 0.921 0.057
0.079 0.914 0.137
0.421 0.057 0.335
0.165 0.079 0.943
0.086 0.165 0.223
0.914 0.079 0.637
0.579 0.637 0.414
0.665 0.443 0.579
0.363 0.421 0.086
0.723 0.137 0.057
0.943 0.579 0.165
0.086 0.921 0.363
0.943 0.363 0.277
0.414 0.137 0.579
0.277 0.414 0.835
0.637 0.579 0.914
0.057 0.421 0.835
0.921 0.086 0.863
0.335 0.777 0.414
0.863 0.586 0.921
0.500 0.000 0.000
0.125 0.375 0.250
0.875 0.250 0.625
0.000 0.000 0.000
0.000 0.500 0.500
0.375 0.125 0.750
0.750 0.125 0.875
0.625 0.875 0.250
0.250 0.875 0.125
0.125 0.750 0.375
0.750 0.625 0.375
0.250 0.375 0.625
0.875 0.625 0.750
0.000 0.000 0.500
0.500 0.000 0.500
0.375 0.250 0.125
0.500 0.500 0.500
0.625 0.750 0.875
0.000 0.500 0.000
0.500 0.500 0.000
0.125 0.250 0.875
0.250 0.125 0.375
0.875 0.125 0.250
0.375 0.625 0.250
0.625 0.375 0.750
0.375 0.750 0.625
0.625 0.250 0.375
0.250 0.625 0.875
0.750 0.875 0.625
0.750 0.375 0.125
0.875 0.750 0.125
0.125 0.875 0.750

***

# 18
GGA-PBE Pa2FeGe3, relaxed; symmetry = Fmmm (69); offset from the most stable computed form = 0.014 eV/atom; DOS(E_F) = 1.114 states/eV per atom
1.0
5.493 0.738 -1.494
-1.480 5.342 -1.494
-0.525 -0.795 8.051
Pa Fe Ge
4 2 6
Direct
0.263 0.263 0.000
0.250 0.750 0.500
0.737 0.737 0.000
0.750 0.250 0.500
0.658 0.658 0.316
0.342 0.342 0.684
0.177 0.177 0.355
0.337 0.836 0.173
0.164 0.663 0.827
0.823 0.823 0.645
0.663 0.164 0.827
0.836 0.337 0.173